(1)
{"formula": "TaHgP2", "functional": "PBE", "state": "optimized geometry", "vol_a3_per_atom": 19.7, "formation_enthalpy_0k_ev_per_atom": 0.490, "m_tot_mub_per_fu": 0.00, "sg": "No. 160", "cell": [[2.975, 0.000, 0.000], [-1.487, 2.576, 0.000], [0.000, 0.000, 30.791]], "species": ["Ta", "Ta", "Ta", "Hg", "Hg", "Hg", "P", "P", "P", "P", "P", "P"], "fractional_positions": [[0.000, 0.000, 0.000], [0.333, 0.667, 0.667], [0.667, 0.333, 0.333], [0.000, 0.000, 0.748], [0.333, 0.667, 0.414], [0.667, 0.333, 0.081], [0.000, 0.000, 0.267], [0.000, 0.000, 0.489], [0.333, 0.667, 0.155], [0.333, 0.667, 0.934], [0.667, 0.333, 0.601], [0.667, 0.333, 0.822]]}

(2)
{"formula": "Li2In2As", "functional": "PBE", "state": "optimized geometry", "vol_a3_per_atom": 20.9, "formation_enthalpy_0k_ev_per_atom": -0.217, "m_tot_mub_per_fu": 0.00, "sg": "No. 127", "cell": [[6.669, 0.000, 0.000], [0.000, 6.669, 0.000], [0.000, 0.000, 4.695]], "species": ["Li", "Li", "Li", "Li", "In", "In", "In", "In", "As", "As"], "fractional_positions": [[0.153, 0.347, 0.000], [0.347, 0.847, 0.000], [0.653, 0.153, 0.000], [0.847, 0.653, 0.000], [0.170, 0.670, 0.500], [0.330, 0.170, 0.500], [0.670, 0.830, 0.500], [0.830, 0.330, 0.500], [0.000, 0.000, 0.000], [0.500, 0.500, 0.000]]}

(3)
{"formula": "Y2TiPtN", "functional": "PBE", "state": "optimized geometry", "vol_a3_per_atom": 18.7, "m_tot_mub_per_fu": 0.90, "e_form_raw_kcal_per_mol_atoms": -25.564, "sg": "No. 123", "cell": [[4.854, 0.000, 0.000], [0.000, 4.854, 0.000], [0.000, 0.000, 3.967]], "species": ["Y", "Y", "Ti", "Pt", "N"], "fractional_positions": [[0.000, 0.500, 0.000], [0.500, 0.000, 0.000], [0.000, 0.000, 0.500], [0.500, 0.500, 0.500], [0.000, 0.000, 0.000]]}

(4)
{"formula": "BaAg2Bi2", "functional": "PBE", "state": "optimized geometry", "vol_a3_per_atom": 28.6, "formation_enthalpy_0k_ev_per_atom": -0.230, "m_tot_mub_per_fu": 0.00, "sg": "No. 127", "cell": [[8.823, 0.000, 0.000], [0.000, 8.823, 0.000], [0.000, 0.000, 3.679]], "species": ["Ba", "Ba", "Ag", "Ag", "Ag", "Ag", "Bi", "Bi", "Bi", "Bi"], "fractional_positions": [[0.000, 0.000, 0.000], [0.500, 0.500, 0.000], [0.114, 0.386, 0.000], [0.386, 0.886, 0.000], [0.614, 0.114, 0.000], [0.886, 0.614, 0.000], [0.180, 0.680, 0.500], [0.320, 0.180, 0.500], [0.680, 0.820, 0.500], [0.820, 0.320, 0.500]]}

(5)
{"formula": "PmNd4Sm2Tm2", "functional": "PBE", "state": "optimized geometry", "vol_a3_per_atom": 33.6, "formation_enthalpy_0k_ev_per_atom": 0.020, "m_tot_mub_per_fu": 0.00, "sg": "No. 12", "cell": [[7.697, -2.563, 0.000], [7.697, 2.563, 0.000], [-2.564, 0.000, 7.667]], "species": ["Pm", "Nd", "Nd", "Nd", "Nd", "Sm", "Sm", "Tm", "Tm"], "fractional_positions": [[0.000, 0.000, 0.000], [0.222, 0.222, 0.330], [0.445, 0.445, 0.669], [0.555, 0.555, 0.331], [0.778, 0.778, 0.670], [0.112, 0.112, 0.669], [0.888, 0.888, 0.331], [0.332, 0.332, 0.001], [0.668, 0.668, 0.999]]}

(6)
{"formula": "La2GaCoAg", "functional": "PBE", "state": "optimized geometry", "vol_a3_per_atom": 25.7, "formation_enthalpy_0k_ev_per_atom": -0.311, "m_tot_mub_per_fu": 0.00, "sg": "No. 123", "cell": [[5.291, 0.000, 0.000], [0.000, 5.291, 0.000], [0.000, 0.000, 4.598]], "species": ["La", "La", "Ga", "Co", "Ag"], "fractional_positions": [[0.000, 0.500, 0.000], [0.500, 0.000, 0.000], [0.000, 0.000, 0.500], [0.000, 0.000, 0.000], [0.500, 0.500, 0.500]]}

(7)
{"formula": "TmTh2Cd", "functional": "PBE", "state": "optimized geometry", "vol_a3_per_atom": 29.6, "formation_enthalpy_0k_ev_per_atom": 0.041, "m_tot_mub_per_fu": 0.00, "sg": "No. 123", "cell": [[5.708, 0.000, 0.000], [0.000, 5.708, 0.000], [0.000, 0.000, 3.637]], "species": ["Tm", "Th", "Th", "Cd"], "fractional_positions": [[0.000, 0.000, 0.000], [0.000, 0.500, 0.500], [0.500, 0.000, 0.500], [0.500, 0.500, 0.000]]}

(8)
{"formula": "PrPa2Au8", "functional": "PBE", "state": "optimized geometry", "vol_a3_per_atom": 22.0, "formation_enthalpy_0k_ev_per_atom": -0.492, "m_tot_mub_per_fu": 0.00, "sg": "No. 12", "cell": [[3.992, -7.671, 0.000], [3.992, 7.671, 0.000], [-3.332, 0.000, 3.944]], "species": ["Pr", "Pa", "Pa", "Au", "Au", "Au", "Au", "Au", "Au", "Au", "Au"], "fractional_positions": [[0.000, 0.000, 0.000], [0.318, 0.682, 0.500], [0.682, 0.318, 0.500], [0.091, 0.367, 0.730], [0.204, 0.796, 0.000], [0.367, 0.091, 0.730], [0.498, 0.498, 0.749], [0.502, 0.502, 0.251], [0.633, 0.909, 0.270], [0.796, 0.204, 0.000], [0.909, 0.633, 0.270]]}

(9)
{"formula": "SiIrRh2", "functional": "PBE", "state": "optimized geometry", "vol_a3_per_atom": 14.0, "m_tot_mub_per_fu": 0.00, "e_form_raw_kcal_per_mol_atoms": -3.792, "sg": "No. 47", "cell": [[2.771, 0.000, 0.000], [0.000, 4.474, 0.000], [0.000, 0.000, 4.515]], "species": ["Si", "Ir", "Rh", "Rh"], "fractional_positions": [[0.000, 0.000, 0.000], [0.500, 0.500, 0.000], [0.000, 0.500, 0.500], [0.500, 0.000, 0.500]]}